{
  "formula": "K2UNb2Se6",
  "functional": "PBE",
  "state": "optimized geometry",
  "lattice": [[6.4659, 0.1205, 0.1784], [-3.0911, 5.6805, 0.1784], [-1.0319, -1.7737, 8.0432]],
  "species": ["Se", "K", "Se", "Se", "Nb", "Nb", "U", "K", "Se", "Se", "Se"],
  "frac_coords": [[0.7203, 0.7203, 0.7219], [0.8229, 0.1771, 0.0000], [0.2797, 0.2797, 0.2781], [0.0502, 0.4049, 0.6875], [0.6334, 0.3666, 0.5000], [0.3666, 0.6334, 0.5000], [0.0000, 0.0000, 0.5000], [0.1771, 0.8229, 0.0000], [0.5951, 0.9498, 0.3125], [0.9498, 0.5951, 0.3125], [0.4049, 0.0502, 0.6875]],
  "spacegroup": "No. 12",
  "final_energy_ev_per_cell": -66.0
}

---

{
  "formula": "K2Nb2VSe6",
  "functional": "PBE",
  "state": "optimized geometry",
  "lattice": [[6.3815, -0.0524, 0.1120], [-3.1996, 5.5216, 0.1120], [-1.0481, -1.8015, 8.0096]],
  "species": ["K", "Nb", "Se", "Se", "Se", "Se", "V", "Se", "Nb", "Se", "K"],
  "frac_coords": [[0.8204, 0.1796, 0.0000], [0.3652, 0.6348, 0.5000], [0.9545, 0.6160, 0.3208], [0.6160, 0.9545, 0.3208], [0.3840, 0.0455, 0.6792], [0.0455, 0.3840, 0.6792], [0.0000, 0.0000, 0.5000], [0.7445, 0.7445, 0.7145], [0.6348, 0.3652, 0.5000], [0.2555, 0.2555, 0.2855], [0.1796, 0.8204, 0.0000]],
  "spacegroup": "No. 12",
  "final_energy_ev_per_cell": -62.5
}

---

{
  "formula": "KNbVSe3",
  "functional": "PBE",
  "state": "optimized geometry",
  "lattice": [[-3.0180, 1.6525, -0.9499], [-3.2816, -1.2504, 8.2504], [5.0872, 8.4073, -1.5365]],
  "species": ["K", "Se", "Nb", "Se", "V", "K", "Se", "V", "Se", "Se", "Se", "Nb"],
  "frac_coords": [[0.7500, 0.7583, 0.7503], [0.2500, 0.7663, 0.4683], [0.2500, 0.7030, 0.1767], [0.7500, 0.8972, 0.1420], [0.2500, 0.0837, 0.5997], [0.2500, 0.2417, 0.2497], [0.7500, 0.4600, 0.1286], [0.7500, 0.9163, 0.4003], [0.2500, 0.1028, 0.8580], [0.2500, 0.5400, 0.8714], [0.7500, 0.2337, 0.5317], [0.7500, 0.2970, 0.8233]],
  "spacegroup": "No. 11",
  "final_energy_ev_per_cell": -72.3
}